# 1
DFT (GGA-PBE) results for an optimized crystal structure of ScHgBOs2.

Results
Total DFT energy (no corrections), eV per atom: -4.4570
Energy relative to the elements, eV per atom: 2.697

Cell and atoms, written as CIF:
```
data_ScHgBOs2
_space_group_name_H-M_alt 'P 4/m m m'
_space_group_IT_number 123
_space_group_name_Hall '-P 4 2'
_cell_length_a 4.729
_cell_length_b 4.729
_cell_length_c 5.385
_cell_angle_alpha 90.00
_cell_angle_beta 90.00
_cell_angle_gamma 90.00
loop_
_atom_site_label
_atom_site_type_symbol
_atom_site_fract_x
_atom_site_fract_y
_atom_site_fract_z
Sc1 Sc 0.000 0.000 0.000
Hg1 Hg 0.000 0.000 0.500
B1 B 0.500 0.500 0.500
Os1 Os 0.000 0.500 0.000
```

***

# 2
DFT (GGA-PBE) results for an optimized crystal structure of Sc2HgBOs.

Results
Total DFT energy (no corrections), eV per atom: -4.2248
Energy relative to the elements, eV per atom: 1.950

Cell and atoms, written as CIF:
```
data_Sc2HgBOs
_space_group_name_H-M_alt 'P 4/m m m'
_space_group_IT_number 123
_space_group_name_Hall '-P 4 2'
_cell_length_a 5.156
_cell_length_b 5.156
_cell_length_c 4.909
_cell_angle_alpha 90.00
_cell_angle_beta 90.00
_cell_angle_gamma 90.00
loop_
_atom_site_label
_atom_site_type_symbol
_atom_site_fract_x
_atom_site_fract_y
_atom_site_fract_z
Sc1 Sc 0.000 0.500 0.000
Hg1 Hg 0.000 0.000 0.000
B1 B 0.500 0.500 0.500
Os1 Os 0.000 0.000 0.500
```

***

# 3
DFT (GGA-PBE) results for an optimized crystal structure of TiHgBOs2.

Results
Total DFT energy (no corrections), eV per atom: -6.9970
Energy relative to the elements, eV per atom: 0.470

Cell and atoms, written as CIF:
```
data_TiHgBOs2
_space_group_name_H-M_alt 'P 4/m m m'
_space_group_IT_number 123
_space_group_name_Hall '-P 4 2'
_cell_length_a 4.184
_cell_length_b 4.184
_cell_length_c 4.319
_cell_angle_alpha 90.00
_cell_angle_beta 90.00
_cell_angle_gamma 90.00
loop_
_atom_site_label
_atom_site_type_symbol
_atom_site_fract_x
_atom_site_fract_y
_atom_site_fract_z
Ti1 Ti 0.000 0.000 0.000
Hg1 Hg 0.500 0.500 0.000
B1 B 0.500 0.500 0.500
Os1 Os 0.000 0.500 0.500
```

***

# 4
DFT (GGA-PBE) results for an optimized crystal structure of Y2HgBOs.

Results
Total DFT energy (no corrections), eV per atom: -6.5661
Energy relative to the elements, eV per atom: -0.339

Cell and atoms, written as CIF:
```
data_Y2HgBOs
_space_group_name_H-M_alt 'P 4/m m m'
_space_group_IT_number 123
_space_group_name_Hall '-P 4 2'
_cell_length_a 5.118
_cell_length_b 5.118
_cell_length_c 3.999
_cell_angle_alpha 90.00
_cell_angle_beta 90.00
_cell_angle_gamma 90.00
loop_
_atom_site_label
_atom_site_type_symbol
_atom_site_fract_x
_atom_site_fract_y
_atom_site_fract_z
Y1 Y 0.000 0.500 0.000
Hg1 Hg 0.000 0.000 0.500
B1 B 0.500 0.500 0.000
Os1 Os 0.500 0.500 0.500
```

***

# 5
DFT (GGA-PBE) results for an optimized crystal structure of Zr2HgBOs.

Results
Total DFT energy (no corrections), eV per atom: -5.5520
Energy relative to the elements, eV per atom: 1.509

Cell and atoms, written as CIF:
```
data_Zr2HgBOs
_space_group_name_H-M_alt 'P 4/m m m'
_space_group_IT_number 123
_space_group_name_Hall '-P 4 2'
_cell_length_a 5.291
_cell_length_b 5.291
_cell_length_c 3.867
_cell_angle_alpha 90.00
_cell_angle_beta 90.00
_cell_angle_gamma 90.00
loop_
_atom_site_label
_atom_site_type_symbol
_atom_site_fract_x
_atom_site_fract_y
_atom_site_fract_z
Zr1 Zr 0.000 0.500 0.000
Hg1 Hg 0.000 0.000 0.000
B1 B 0.000 0.000 0.500
Os1 Os 0.500 0.500 0.500
```

***

# 6
DFT (GGA-PBE) results for an optimized crystal structure of HgBP2.

Results
Offset from the most stable computed form, meV per atom: 1292
Total DFT energy (no corrections), eV per atom: -2.9770
Energy relative to the elements, eV per atom: 1.473

Cell and atoms, written as CIF:
```
data_HgBP2
_space_group_name_H-M_alt 'F m -3 m'
_space_group_IT_number 225
_space_group_name_Hall '-F 4 2 3'
_cell_length_a 6.368
_cell_length_b 6.368
_cell_length_c 6.368
_cell_angle_alpha 90.00
_cell_angle_beta 90.00
_cell_angle_gamma 90.00
loop_
_atom_site_label
_atom_site_type_symbol
_atom_site_fract_x
_atom_site_fract_y
_atom_site_fract_z
Hg1 Hg 0.000 0.000 0.000
B1 B 0.000 0.000 0.500
P1 P 0.250 0.250 0.250
```

***

Repeat the fifth record exactly.
DFT (GGA-PBE) results for an optimized crystal structure of Zr2HgBOs.

Results
Total DFT energy (no corrections), eV per atom: -5.5520
Energy relative to the elements, eV per atom: 1.509

Cell and atoms, written as CIF:
```
data_Zr2HgBOs
_space_group_name_H-M_alt 'P 4/m m m'
_space_group_IT_number 123
_space_group_name_Hall '-P 4 2'
_cell_length_a 5.291
_cell_length_b 5.291
_cell_length_c 3.867
_cell_angle_alpha 90.00
_cell_angle_beta 90.00
_cell_angle_gamma 90.00
loop_
_atom_site_label
_atom_site_type_symbol
_atom_site_fract_x
_atom_site_fract_y
_atom_site_fract_z
Zr1 Zr 0.000 0.500 0.000
Hg1 Hg 0.000 0.000 0.000
B1 B 0.000 0.000 0.500
Os1 Os 0.500 0.500 0.500
```